1.
VASP calculation (PBE) on a relaxed structure of LiZnPt2.

Computed properties:
* size of the total moment: 0.00 Bohr magnetons per cell
* mass density: 10.9 g cm⁻³
* ΔE_f: 0.0396 eV/atom
* calculated volume: 71 Å³/f.u.

Cell and atoms, written as POSCAR:
```
LiZnPt2
1.0
-5.488 0.199 -1.576
4.638 -3.326 -0.261
3.347 -1.302 4.444
Li Zn Pt
1 1 2
direct
0.000 0.000 0.000
0.000 0.500 0.500
0.000 0.265 0.265
0.000 0.735 0.735
```


2.
VASP calculation (PBE) on a relaxed structure of CsTl2RhBr6.

Computed properties:
* size of the total moment: 0.00 Bohr magnetons per cell
* mass density: 5.1 g cm⁻³
* calculated volume: 366 Å³/f.u.
* formation energy (no corrections): -0.847 eV per atom

Cell and atoms, written as POSCAR:
```
CsTl2RhBr6
1.0
-0.302 -5.727 -5.221
8.983 0.722 -1.311
1.647 -7.097 7.376
Br Rh Cs Tl
12 2 2 4
direct
0.773 0.850 0.504
0.367 0.843 0.676
0.625 0.170 0.667
0.875 0.670 0.833
0.375 0.830 0.333
0.633 0.157 0.324
0.133 0.343 0.824
0.227 0.150 0.496
0.727 0.350 0.996
0.867 0.657 0.176
0.273 0.650 0.004
0.125 0.330 0.167
0.500 0.000 0.500
0.000 0.500 0.000
0.000 0.500 0.500
0.500 0.000 0.000
0.996 0.009 0.735
0.004 0.991 0.265
0.504 0.509 0.765
0.496 0.491 0.235
```


3.
VASP calculation (PBE) on a relaxed structure of LiMnPt2.

Computed properties:
* size of the total moment: 4.12 Bohr magnetons per cell
* mass density: 12.9 g cm⁻³
* ΔE_f: -0.2315 eV/atom
* relative energy among the computed polymorphs: 1.050 eV/f.u.
* calculated volume: 58 Å³/f.u.

Cell and atoms, written as POSCAR:
```
LiMnPt2
1.0
3.243 0.000 0.000
0.000 3.243 0.000
0.000 0.000 5.537
Pt Li Mn
2 1 1
direct
0.500 0.500 0.283
0.000 0.000 0.974
0.000 0.000 0.487
0.500 0.500 0.756
```


4.
VASP calculation (PBE) on a relaxed structure of CaAc2Tl3Te6.

Computed properties:
* size of the total moment: 0.00 Bohr magnetons per cell
* mass density: 6.7 g cm⁻³
* calculated volume: 465 Å³/f.u.
* formation energy (no corrections): -1.028 eV per atom

Cell and atoms, written as POSCAR:
```
CaAc2Tl3Te6
1.0
-0.884 -4.140 -2.164
5.021 -4.629 6.805
-9.456 2.334 4.620
Tl Te Ca Ac
3 6 1 2
direct
0.835 0.164 0.669
0.500 0.500 0.000
0.165 0.836 0.331
0.341 0.914 0.681
0.329 0.427 0.657
0.001 0.229 0.002
0.671 0.573 0.343
0.659 0.086 0.319
0.999 0.771 0.998
0.500 0.000 0.000
0.163 0.327 0.326
0.837 0.673 0.674
```


5.
VASP calculation (PBE) on a relaxed structure of CsBaZr2Te.

Computed properties:
* size of the total moment: 0.00 Bohr magnetons per cell
* mass density: 4.7 g cm⁻³
* calculated volume: 207 Å³/f.u.
* formation energy (no corrections): 1.200 eV per atom

Cell and atoms, written as POSCAR:
```
CsBaZr2Te
1.0
5.564 0.000 0.000
0.000 6.684 0.000
0.000 0.000 5.564
Ba Zr Te Cs
1 2 1 1
direct
0.000 0.000 0.000
0.000 0.000 0.500
0.500 0.000 0.000
0.000 0.500 0.000
0.500 0.500 0.500
```


6.
VASP calculation (PBE) on a relaxed structure of Mg2TiNbGe.

Computed properties:
* size of the total moment: 0.00 Bohr magnetons per cell
* mass density: 3.3 g cm⁻³
* ΔE_f: 1.0551 eV/atom
* calculated volume: 131 Å³/f.u.

Cell and atoms, written as POSCAR:
```
Mg2TiNbGe
1.0
-4.909 -2.069 -0.155
1.267 -3.232 3.011
-1.465 3.174 4.023
Nb Mg Ge Ti
1 2 1 1
direct
0.000 0.000 0.000
0.000 0.000 0.500
0.500 0.000 0.000
0.500 0.500 0.500
0.000 0.500 0.000
```


7.
VASP calculation (PBE) on a relaxed structure of SbTeI2.

Computed properties:
* size of the total moment: 0.00 Bohr magnetons per cell
* mass density: 4.7 g cm⁻³
* relative energy among the computed polymorphs: 0.133 eV/f.u.
* calculated volume: 176 Å³/f.u.
* formation energy (no corrections): -0.068 eV per atom

Cell and atoms, written as POSCAR:
```
SbTeI2
1.0
-4.427 3.957 -0.483
-7.855 -4.115 1.547
-4.864 -0.033 7.574
Te Sb I
2 2 4
direct
0.500 0.455 0.045
0.000 0.455 0.045
0.604 0.781 0.011
0.396 0.489 0.719
0.989 0.454 0.569
0.656 0.062 0.625
0.011 0.931 0.046
0.344 0.875 0.438
```


8.
VASP calculation (PBE) on a relaxed structure of Sr2RuO.

Computed properties:
* size of the total moment: 4.00 Bohr magnetons per cell
* mass density: 4.5 g cm⁻³
* calculated volume: 107 Å³/f.u.
* formation energy (no corrections): -0.547 eV per atom

Cell and atoms, written as POSCAR:
```
Sr2RuO
1.0
-5.474 4.440 0.327
-0.601 -1.250 6.918
-0.345 4.854 4.445
Sr O Ru
4 2 2
direct
0.375 0.458 0.750
0.542 0.125 0.250
0.875 0.792 0.750
0.208 0.625 0.250
0.500 0.500 0.000
0.250 0.750 0.500
0.750 0.250 0.500
0.000 0.000 0.000
```


9.
VASP calculation (PBE) on a relaxed structure of Dy4SnBi3.

Computed properties:
* size of the total moment: 0.00 Bohr magnetons per cell
* mass density: 9.3 g cm⁻³
* ΔE_f: -0.7686 eV/atom
* calculated volume: 250 Å³/f.u.

Cell and atoms, written as POSCAR:
```
Dy4SnBi3
1.0
-5.413 -1.316 -2.950
-1.479 -4.107 4.547
-2.872 4.597 3.218
Dy Bi Sn
4 3 1
direct
0.500 0.000 0.000
0.500 0.500 0.500
0.000 0.500 0.000
0.000 0.000 0.500
0.500 0.000 0.500
0.500 0.500 0.000
0.000 0.500 0.500
0.000 0.000 0.000
```


10.
VASP calculation (PBE) on a relaxed structure of ScTc2Pb.

Computed properties:
* size of the total moment: 0.00 Bohr magnetons per cell
* mass density: 9.6 g cm⁻³
* ΔE_f: -0.0159 eV/atom
* relative energy among the computed polymorphs: 0.000 eV/f.u.
* calculated volume: 77 Å³/f.u.

Cell and atoms, written as POSCAR:
```
ScTc2Pb
1.0
-1.114 -2.156 -1.900
2.852 -1.081 -0.446
-0.935 -5.063 6.296
Tc Pb Sc
2 1 1
direct
0.000 0.000 0.028
0.500 0.500 0.204
0.000 0.000 0.468
0.500 0.500 0.799
```


11.
VASP calculation (PBE) on a relaxed structure of MgTi2Re2.

Computed properties:
* size of the total moment: 0.00 Bohr magnetons per cell
* mass density: 9.7 g cm⁻³
* ΔE_f: 0.1109 eV/atom
* calculated volume: 84 Å³/f.u.

Cell and atoms, written as POSCAR:
```
MgTi2Re2
1.0
7.405 0.000 0.000
0.000 7.405 0.000
0.000 0.000 3.080
Re Mg Ti
4 2 4
direct
0.144 0.356 0.000
0.356 0.856 0.000
0.856 0.644 0.000
0.644 0.144 0.000
0.000 0.000 0.000
0.500 0.500 0.000
0.650 0.850 0.500
0.150 0.650 0.500
0.850 0.350 0.500
0.350 0.150 0.500
```


12.
VASP calculation (PBE) on a relaxed structure of PrY5Ho2Tm.

Computed properties:
* size of the total moment: 0.00 Bohr magnetons per cell
* mass density: 6.0 g cm⁻³
* ΔE_f: 0.1549 eV/atom
* calculated volume: 299 Å³/f.u.

Cell and atoms, written as POSCAR:
```
PrY5Ho2Tm
1.0
-2.983 -4.525 1.511
7.339 -3.531 -6.560
6.514 -1.577 8.136
Y Ho Tm Pr
10 4 2 2
direct
0.278 0.557 0.313
0.016 0.032 0.023
0.521 0.042 0.238
0.698 0.397 0.205
0.722 0.443 0.813
0.610 0.220 0.525
0.984 0.968 0.523
0.390 0.780 0.025
0.302 0.603 0.705
0.479 0.958 0.738
0.888 0.775 0.818
0.112 0.225 0.318
0.890 0.780 0.236
0.110 0.220 0.736
0.588 0.175 0.952
0.412 0.825 0.452
0.197 0.394 0.014
0.803 0.606 0.514
```


13.
VASP calculation (PBE) on a relaxed structure of Hf3ZrTc2.

Computed properties:
* size of the total moment: 0.00 Bohr magnetons per cell
* mass density: 11.9 g cm⁻³
* ΔE_f: -0.3438 eV/atom
* calculated volume: 115 Å³/f.u.

Cell and atoms, written as POSCAR:
```
Hf3ZrTc2
1.0
-0.315 -0.084 -3.277
2.341 -2.310 -0.166
-7.390 -7.554 0.903
Hf Tc Zr
3 2 1
direct
0.000 0.000 0.701
0.000 0.000 0.299
0.000 0.000 0.000
0.500 0.500 0.843
0.500 0.500 0.157
0.500 0.500 0.500
```


14.
VASP calculation (PBE) on a relaxed structure of LaEr2TmSe6.

Computed properties:
* size of the total moment: 0.00 Bohr magnetons per cell
* mass density: 6.3 g cm⁻³
* calculated volume: 295 Å³/f.u.
* formation energy (no corrections): -1.871 eV per atom

Cell and atoms, written as POSCAR:
```
LaEr2TmSe6
1.0
-1.754 6.004 3.691
-4.510 4.879 -2.934
-7.124 0.547 2.869
La Se Tm Er
1 6 1 2
direct
0.810 0.810 0.571
0.727 0.139 0.748
0.139 0.387 0.748
0.609 0.229 0.246
0.229 0.916 0.246
0.916 0.609 0.246
0.387 0.727 0.748
0.319 0.319 0.043
0.011 0.011 0.967
0.516 0.516 0.451
```


15.
VASP calculation (PBE) on a relaxed structure of Sr2CrMoN5.

Computed properties:
* size of the total moment: 1.54 Bohr magnetons per cell
* mass density: 5.1 g cm⁻³
* calculated volume: 128 Å³/f.u.
* formation energy (no corrections): -0.624 eV per atom

Cell and atoms, written as POSCAR:
```
Sr2CrMoN5
1.0
-1.056 2.522 -1.718
-4.775 -0.040 5.912
6.589 6.413 5.365
N Sr Cr Mo
10 4 2 2
direct
0.331 0.663 0.003
0.503 0.005 0.801
0.297 0.594 0.645
0.703 0.406 0.145
0.675 0.349 0.891
0.669 0.337 0.503
0.958 0.915 0.517
0.042 0.085 0.017
0.325 0.651 0.391
0.497 0.995 0.301
0.133 0.266 0.317
0.867 0.734 0.817
0.118 0.237 0.684
0.882 0.763 0.184
0.443 0.886 0.438
0.557 0.114 0.938
0.788 0.576 0.528
0.212 0.424 0.028
```


16.
VASP calculation (PBE) on a relaxed structure of Nd2NbI.

Computed properties:
* size of the total moment: 0.40 Bohr magnetons per cell
* mass density: 7.1 g cm⁻³
* calculated volume: 118 Å³/f.u.
* formation energy (no corrections): 0.361 eV per atom

Cell and atoms, written as POSCAR:
```
Nd2NbI
1.0
-1.851 2.749 1.168
-1.306 -0.019 3.262
8.253 5.584 5.228
I Nd Nb
1 2 1
direct
0.500 0.500 0.500
0.088 0.088 0.735
0.912 0.912 0.265
0.000 0.000 0.000
```


17.
VASP calculation (PBE) on a relaxed structure of Ce3Nd4ScS8.

Computed properties:
* size of the total moment: 1.97 Bohr magnetons per cell
* mass density: 5.9 g cm⁻³
* calculated volume: 365 Å³/f.u.
* formation energy (no corrections): -1.997 eV per atom

Cell and atoms, written as POSCAR:
```
Ce3Nd4ScS8
1.0
-4.592 -6.169 2.286
2.951 0.559 7.435
-3.337 6.409 -3.485
Ce Nd Sc S
3 4 1 8
direct
0.500 0.500 0.000
0.000 0.500 0.500
0.500 0.500 0.500
0.500 0.000 0.000
0.500 0.000 0.500
0.000 0.000 0.500
0.000 0.000 0.000
0.000 0.500 0.000
0.749 0.747 0.498
0.240 0.737 0.997
0.240 0.737 0.480
0.243 0.263 0.003
0.757 0.737 0.997
0.251 0.253 0.502
0.760 0.263 0.003
0.760 0.263 0.520
```


18.
VASP calculation (PBE) on a relaxed structure of PrTm4Al4.

Computed properties:
* size of the total moment: 0.00 Bohr magnetons per cell
* mass density: 6.5 g cm⁻³
* ΔE_f: -0.1563 eV/atom
* calculated volume: 238 Å³/f.u.

Cell and atoms, written as POSCAR:
```
PrTm4Al4
1.0
-2.732 3.092 -3.166
-8.134 -3.741 3.367
-0.275 6.721 6.801
Al Tm Pr
8 8 2
direct
0.000 0.683 0.582
0.000 0.582 0.317
0.000 0.418 0.683
0.500 0.183 0.082
0.500 0.918 0.183
0.500 0.082 0.817
0.000 0.317 0.418
0.500 0.817 0.918
0.500 0.147 0.400
0.000 0.353 0.100
0.000 0.900 0.353
0.500 0.853 0.600
0.000 0.100 0.647
0.500 0.600 0.147
0.500 0.400 0.853
0.000 0.647 0.900
0.000 0.000 0.000
0.500 0.500 0.500
```


19.
VASP calculation (PBE) on a relaxed structure of Sc2CrS.

Computed properties:
* size of the total moment: 0.00 Bohr magnetons per cell
* mass density: 3.8 g cm⁻³
* calculated volume: 76 Å³/f.u.
* formation energy (no corrections): -0.113 eV per atom

Cell and atoms, written as POSCAR:
```
Sc2CrS
1.0
-1.882 -1.503 7.849
-0.591 -4.410 6.900
1.408 -1.938 7.853
Sc Cr S
2 1 1
direct
0.903 0.903 0.903
0.097 0.097 0.097
0.000 0.000 0.000
0.500 0.500 0.500
```


20.
VASP calculation (PBE) on a relaxed structure of KRuAuN2.

Computed properties:
* size of the total moment: 4.90 Bohr magnetons per cell
* mass density: 6.3 g cm⁻³
* calculated volume: 96 Å³/f.u.
* formation energy (no corrections): 2.118 eV per atom

Cell and atoms, written as POSCAR:
```
KRuAuN2
1.0
4.302 0.000 0.000
0.000 5.208 0.000
0.000 0.000 4.302
N Au K Ru
2 1 1 1
direct
0.500 0.000 0.000
0.000 0.000 0.500
0.000 0.000 0.000
0.500 0.500 0.500
0.000 0.500 0.000
```